An optimized crystal structure of KFeCoS3, computed with PBE.

Summary:
* E above lowest polymorph: 0 meV/atom

Cell: 14.209 3.442 8.948 Å, 90.00 90.00 90.00°
Space group Pnma (No. 62)
Unique sites:
K 0.243 0.250 0.049
Fe 0.014 0.250 0.326
Co 0.011 0.750 0.101
S 0.072 0.250 0.569
S 0.081 0.750 0.876
S 0.118 0.750 0.269

An optimized crystal structure of KFeCoS3, computed with PBE.

Summary:
* E above lowest polymorph: 12 meV/atom

Cell: 7.894 3.446 8.925 Å, 90.00 115.67 90.00°
Space group P2_1/m (No. 11)
Unique sites:
K 0.012 0.250 0.261
Fe 0.474 0.250 0.165
Co 0.480 0.750 0.391
S 0.267 0.750 0.141
S 0.336 0.750 0.561
S 0.355 0.250 0.876

An optimized crystal structure of KFeCoSe3, computed with PBE.

Summary:
* E above lowest polymorph: 3 meV/atom

Cell: 14.931 3.603 9.379 Å, 90.00 90.00 90.00°
Space group Pnma (No. 62)
Unique sites:
K 0.240 0.250 0.051
Fe 0.015 0.250 0.324
Co 0.012 0.750 0.099
Se 0.073 0.250 0.570
Se 0.084 0.750 0.874
Se 0.120 0.750 0.270

An optimized crystal structure of KFeCoSe3, computed with PBE.

Summary:
* E above lowest polymorph: 0 meV/atom

Cell: 8.271 3.605 9.337 Å, 90.00 114.82 90.00°
Space group P2_1/m (No. 11)
Unique sites:
K 0.016 0.250 0.267
Fe 0.475 0.250 0.169
Co 0.481 0.750 0.395
Se 0.267 0.750 0.144
Se 0.328 0.750 0.560
Se 0.352 0.250 0.877

An optimized crystal structure of LaFeCoP2, computed with PBE.

Summary:
* final energy: -7.244 eV/atom

Cell: 3.745 3.745 11.236 Å, 90.00 90.00 90.00°
Space group I-4m2 (No. 119)
Unique sites:
La 0.000 0.000 0.000
Fe 0.000 0.500 0.750
Co 0.000 0.500 0.250
P 0.000 0.000 0.353

An optimized crystal structure of La2FeCoSi2, computed with PBE.

Summary:
* final energy: -6.670 eV/atom

Cell: 4.033 4.033 7.160 Å, 90.00 90.00 90.00°
Space group P-4m2 (No. 115)
Unique sites:
La 0.000 0.500 0.184
Fe 0.500 0.500 0.500
Co 0.000 0.000 0.500
Si 0.000 0.500 0.663

An optimized crystal structure of LaFeCoSi2, computed with PBE.

Summary:
* final energy: -6.926 eV/atom

Cell: 4.003 4.003 10.042 Å, 90.00 90.00 90.00°
Space group I-4m2 (No. 119)
Unique sites:
La 0.000 0.000 0.000
Fe 0.000 0.500 0.250
Co 0.000 0.500 0.750
Si 0.000 0.000 0.360

An optimized crystal structure of LiFeCoSb, computed with PBE.

Summary:
* E above lowest polymorph: 0 meV/atom

Cell: 5.994 5.994 5.994 Å, 90.00 90.00 90.00°
Space group F-43m (No. 216)
Unique sites:
Li 0.000 0.000 0.000
Fe 0.250 0.250 0.250
Co 0.000 0.000 0.500
Sb 0.250 0.250 0.750

An optimized crystal structure of LuFe2Co, computed with PBE.

Summary:
* final energy: -7.001 eV/atom

Cell: 6.075 6.075 6.075 Å, 90.00 90.00 90.00°
Space group F-43m (No. 216)
Unique sites:
Lu 0.000 0.000 0.000
Fe 0.000 0.000 0.500
Fe 0.250 0.250 0.250
Co 0.250 0.250 0.750

An optimized crystal structure of Lu3Fe8Co, computed with PBE.

Summary:
* final energy: -7.417 eV/atom

Cell: 4.9675 4.9675 23.9969 Å, 90.00 90.00 120.00°
Space group R-3m (No. 166, hexagonal axes)
Unique sites:
Lu 0.0000 0.0000 0.0000
Lu 0.0000 0.0000 0.1421
Fe 0.0000 0.0000 0.3330
Fe 0.0013 0.5007 0.9178
Co 0.0000 0.0000 0.5000

An optimized crystal structure of Lu2FeCo, computed with PBE.

Summary:
* final energy: -5.844 eV/atom

Cell: 6.513 6.513 6.513 Å, 90.00 90.00 90.00°
Space group F-43m (No. 216)
Unique sites:
Lu 0.000 0.000 0.000
Lu 0.250 0.250 0.250
Fe 0.000 0.000 0.500
Co 0.250 0.250 0.750

An optimized crystal structure of LuFe2Co, computed with PBE.

Summary:
* final energy: -7.236 eV/atom

Cell: 4.9532 4.9532 24.1517 Å, 90.00 90.00 120.00°
Space group R-3m (No. 166, hexagonal axes)
Unique sites:
Lu 0.0000 0.0000 0.0000
Lu 0.0000 0.0000 0.1423
Fe 0.0019 0.5009 0.9176
Co 0.0000 0.0000 0.3332
Co 0.0000 0.0000 0.5000

An optimized crystal structure of LuFeCoPb, computed with PBE.

Summary:
* E above lowest polymorph: 164 meV/atom

Cell: 6.629 6.629 6.629 Å, 90.00 90.00 90.00°
Space group F-43m (No. 216)
Unique sites:
Lu 0.000 0.000 0.000
Fe 0.250 0.250 0.750
Co 0.000 0.000 0.500
Pb 0.250 0.250 0.250